Run i
First-principles (PBE-GGA) data for a relaxed RbPuSe3 crystal, as listed in the Alexandria database.

Output
Density of states at the Fermi level: 0.974 states/eV per atom

Lattice parameters (Å, degrees): 7.3516 7.3516 8.5282 115.51 115.51 59.99
Closest atoms and distances in Å follow each position.
Sites, in units of the cell vectors:
Rb 0.1199 0.1199 0.3605  9 Se 3.64-3.78
Rb 0.8801 0.8801 0.6395  9 Se 3.64-3.78
Pu 0.3336 0.3336 0.0007  6 Se 2.76-2.77
Pu 0.6664 0.6664 0.9993  6 Se 2.76-2.77
Se 0.0805 0.5795 0.2401  2 Pu 2.76-2.77
Se 0.4204 0.4204 0.7599  2 Pu 2.76-2.77
Se 0.4205 0.9195 0.7599  2 Pu 2.76-2.77
Se 0.5795 0.0805 0.2401  2 Pu 2.76-2.77
Se 0.5796 0.5796 0.2401  2 Pu 2.76-2.77
Se 0.9195 0.4205 0.7599  2 Pu 2.76-2.77

Run ii
First-principles (PBE-GGA) data for a relaxed RbPuSe3 crystal, as listed in the Alexandria database.

Output
Density of states at the Fermi level: 0.603 states/eV per atom

Lattice parameters (Å, degrees): 5.4746 5.4746 5.4746 90.00 90.00 90.00
Closest atoms and distances in Å follow each position.
Sites, in units of the cell vectors:
Rb 0.0000 0.0000 0.0000  12 Se 3.87
Pu 0.5000 0.5000 0.5000  6 Se 2.74
Se 0.0000 0.5000 0.5000  2 Pu 2.74
Se 0.5000 0.0000 0.5000  2 Pu 2.74
Se 0.5000 0.5000 0.0000  2 Pu 2.74

Run iii
First-principles (PBE-GGA) data for a relaxed RbPuSe3 crystal, as listed in the Alexandria database.

Output
Density of states at the Fermi level: 1.732 states/eV per atom

Lattice parameters (Å, degrees): 9.3016 9.3016 10.2659 114.92 114.92 26.34
Closest atoms and distances in Å follow each position.
Sites, in units of the cell vectors:
Rb 0.1126 0.1126 0.2995  6 Se 3.47-3.82
Rb 0.8874 0.8874 0.7005  6 Se 3.47-3.82
Pu 0.3139 0.3139 0.1909  6 Se 2.80-2.87
Pu 0.6861 0.6861 0.8091  6 Se 2.80-2.87
Se 0.1511 0.1511 0.9621  3 Pu 2.87
Se 0.2255 0.2255 0.6724  2 Pu 2.80
Se 0.4853 0.4853 0.3768  1 Se 2.35
Se 0.5147 0.5147 0.6232  1 Se 2.35
Se 0.7745 0.7745 0.3276  2 Pu 2.80
Se 0.8489 0.8489 0.0379  3 Pu 2.87

What should be chosen as the most stable of them? Choose run ii.